Record 1
Below is a geometry-optimized LiLa4Y3Se8 structure, with properties calculated at the PBE-GGA level.

Cell and atoms, written as POSCAR:
```
LiLa4Y3Se8
1.0
8.3658 0.0000 0.0000
0.0000 8.3971 0.0161
-4.1829 -4.1790 5.9189
Li La Y Se
1 4 3 8
Direct
0.0000 0.5000 0.0000
0.5000 0.0000 0.0000
0.5000 0.0000 0.5000
0.0000 0.0000 0.0000
0.0000 0.0000 0.5000
0.5000 0.5000 0.0000
0.5000 0.5000 0.5000
0.0000 0.5000 0.5000
0.2401 0.7285 0.9884
0.2402 0.7286 0.4804
0.2557 0.2670 0.5114
0.7483 0.7285 0.9884
0.2517 0.2715 0.0116
0.7443 0.7330 0.4886
0.7598 0.2714 0.5196
0.7599 0.2715 0.0116
```

Computed properties:
Symmetry: R-3m (166)
Formation energy (no corrections), meV/atom: -1857
Magnetization, μB per cell: 0.00

---

Record 2
Below is a geometry-optimized LiLa3Y3Se8 structure, with properties calculated at the PBE-GGA level.

Cell and atoms, written as POSCAR:
```
LiLa3Y3Se8
1.0
-3.8583 -7.1410 1.7162
3.5702 1.1098 -7.4056
4.7847 -0.9485 6.8113
Li La Y Se
1 3 3 8
Direct
0.0000 0.0000 0.5000
0.0000 0.0000 0.0000
0.0000 0.5000 0.0000
0.5000 0.5000 0.0000
0.5000 0.0000 0.5000
0.5000 0.5000 0.5000
0.0000 0.5000 0.5000
0.2555 0.5110 0.2665
0.7445 0.4890 0.7335
0.7553 0.5106 0.2657
0.2447 0.4894 0.7343
0.7552 0.0104 0.2655
0.2448 0.9896 0.7345
0.2553 0.0104 0.2655
0.7447 0.9896 0.7345
```

Computed properties:
Symmetry: R-3m (166)
Formation energy (no corrections), meV/atom: -1866
Magnetization, μB per cell: 0.00

---

Record 3
Below is a geometry-optimized LiLaYSe3 structure, with properties calculated at the PBE-GGA level.

Cell and atoms, written as POSCAR:
```
LiLaYSe3
1.0
-1.5795 -3.3474 1.6905
-3.0915 -2.3701 -7.5819
8.1241 -3.7288 0.2074
Li La Y Se
2 2 2 6
Direct
0.2500 0.0875 0.5856
0.7500 0.9125 0.4144
0.2500 0.1882 0.2268
0.7500 0.8118 0.7732
0.2500 0.6662 0.1593
0.7500 0.3338 0.8407
0.7500 0.9020 0.1320
0.2500 0.0980 0.8680
0.2500 0.7808 0.4966
0.7500 0.2192 0.5034
0.7500 0.4346 0.1750
0.2500 0.5654 0.8250
```

Computed properties:
Symmetry: P2_1/m (11)
Formation energy (no corrections), meV/atom: -1743
Magnetization, μB per cell: 0.00

---

Record 4
Below is a geometry-optimized LiLa2ZrSe5 structure, with properties calculated at the PBE-GGA level.

Cell and atoms, written as POSCAR:
```
LiLa2ZrSe5
1.0
-3.6310 -0.2274 -1.9423
1.8128 -8.5277 1.9881
-5.8138 1.2635 10.7207
Li La Zr Se
2 4 2 10
Direct
0.5544 0.1088 0.9529
0.4456 0.8912 0.4529
0.8705 0.7410 0.8066
0.1105 0.2210 0.6913
0.1295 0.2590 0.3066
0.8895 0.7790 0.1913
0.8047 0.6095 0.5139
0.1953 0.3906 0.0139
0.3555 0.7111 0.0032
0.6906 0.3812 0.8594
0.4956 0.9912 0.7734
0.2862 0.5723 0.6653
0.9499 0.8998 0.5579
0.6445 0.2889 0.5032
0.3094 0.6188 0.3594
0.5044 0.0088 0.2734
0.7138 0.4277 0.1653
0.0501 0.1002 0.0579
```

Computed properties:
Symmetry: Cmc2_1 (36)
Formation energy (no corrections), meV/atom: -1690
Magnetization, μB per cell: 0.00

---

Number 2 is which compound?
LiLa3Y3Se8

---

Copy entry 1 word for word.
Below is a geometry-optimized LiLa4Y3Se8 structure, with properties calculated at the PBE-GGA level.

Cell and atoms, written as POSCAR:
```
LiLa4Y3Se8
1.0
8.3658 0.0000 0.0000
0.0000 8.3971 0.0161
-4.1829 -4.1790 5.9189
Li La Y Se
1 4 3 8
Direct
0.0000 0.5000 0.0000
0.5000 0.0000 0.0000
0.5000 0.0000 0.5000
0.0000 0.0000 0.0000
0.0000 0.0000 0.5000
0.5000 0.5000 0.0000
0.5000 0.5000 0.5000
0.0000 0.5000 0.5000
0.2401 0.7285 0.9884
0.2402 0.7286 0.4804
0.2557 0.2670 0.5114
0.7483 0.7285 0.9884
0.2517 0.2715 0.0116
0.7443 0.7330 0.4886
0.7598 0.2714 0.5196
0.7599 0.2715 0.0116
```

Computed properties:
Symmetry: R-3m (166)
Formation energy (no corrections), meV/atom: -1857
Magnetization, μB per cell: 0.00

---

What is the formation energy (no corrections) in the first record?
-1857 meV/atom

---

Which of these has the highest formation energy (no corrections)?
LiLa2ZrSe5